# Ba3ZnHg

Crystalline Ba3ZnHg at its relaxed geometry (PBE-GGA, Alexandria).

```
Ba3ZnHg
1.0
6.418 0.000 0.000
0.000 6.418 0.000
0.000 0.000 6.418
Ba Hg Zn
3 1 1
Direct
0.000 0.000 0.500
0.000 0.500 0.000
0.500 0.000 0.000
0.500 0.500 0.500
0.000 0.000 0.000
```

Output
Excess energy over the best structure of this formula in the dataset ... 29.9 kJ per mole of atoms
Space-group type ... No. 221
Calculated formation energy ... 0.02 eV/atom


# Ce2PuSn

Crystalline Ce2PuSn at its relaxed geometry (PBE-GGA, Alexandria).

```
Ce2PuSn
1.0
4.026 0.000 0.000
0.000 4.026 0.000
0.000 0.000 6.757
Pu Sn Ce
1 1 2
Direct
0.500 0.500 0.000
0.500 0.500 0.500
0.000 0.000 0.258
0.000 0.000 0.742
```

Output
Excess energy over the best structure of this formula in the dataset ... 12.8 kJ per mole of atoms
Space-group type ... No. 123
Calculated formation energy ... -0.25 eV/atom


# Cs4Ac3TmO8

Crystalline Cs4Ac3TmO8 at its relaxed geometry (PBE-GGA, Alexandria).

```
Cs4Ac3TmO8
1.0
-6.691 -1.349 3.399
3.245 -6.583 3.775
3.495 6.705 0.987
O Ac Cs Tm
8 3 4 1
Direct
0.212 0.669 0.957
0.212 0.669 0.424
0.745 0.669 0.957
0.788 0.331 0.043
0.275 0.324 0.550
0.255 0.331 0.043
0.725 0.676 0.450
0.788 0.331 0.576
0.500 0.500 0.500
0.500 0.500 0.000
0.000 0.500 0.500
0.000 0.000 0.500
0.000 0.000 0.000
0.500 0.000 0.500
0.500 0.000 0.000
0.000 0.500 0.000
```

Output
Formation energy from raw total energies ... -2509.8 meV per atom
Space-group type ... No. 166